1.
# SrBr2Cl (PBE-GGA, relaxed)
# uncorrected formation energy	-1.44	eV/atom
# energy above the most stable polymorph in this dataset	2.253	kcal/mol of atoms
data_SrBr2Cl
_chemical_formula_sum 'Sr4 Br8 Cl4'
_space_group_name_H-M_alt 'F m m m'
_space_group_IT_number 69
_space_group_name_Hall '-F 2 2'
_cell_length_a 5.675
_cell_length_b 8.543
_cell_length_c 10.894
_cell_angle_alpha 90.00
_cell_angle_beta 90.00
_cell_angle_gamma 90.00
loop_
_atom_site_label
_atom_site_type_symbol
_atom_site_fract_x
_atom_site_fract_y
_atom_site_fract_z
_atom_site_occupancy
Sr1 Sr 0.000 0.000 0.000 1
Br1 Br 0.000 0.250 0.250 1
Cl1 Cl 0.000 0.000 0.500 1

=====

2.
# Sr2BrCl3 (PBE-GGA, relaxed)
# uncorrected formation energy	-2.38	eV/atom
# energy above the most stable polymorph in this dataset	0.000	kcal/mol of atoms
data_Sr2BrCl3
_chemical_formula_sum 'Sr4 Br2 Cl6'
_space_group_name_H-M_alt 'A m m 2'
_space_group_IT_number 38
_cell_length_a 4.551
_cell_length_b 9.526
_cell_length_c 9.899
_cell_angle_alpha 90.00
_cell_angle_beta 90.00
_cell_angle_gamma 90.00
loop_
_space_group_symop_operation_xyz
'x,y,z'
'-x,-y,z'
'-x,y,z'
'x,-y,z'
'x,y+1/2,z+1/2'
'-x,-y+1/2,z+1/2'
'-x,y+1/2,z+1/2'
'x,-y+1/2,z+1/2'
loop_
_atom_site_label
_atom_site_type_symbol
_atom_site_fract_x
_atom_site_fract_y
_atom_site_fract_z
_atom_site_occupancy
Sr1 Sr 0.000 0.000 0.000 1
Sr2 Sr 0.500 0.000 0.482 1
Br1 Br 0.500 0.000 0.793 1
Cl1 Cl 0.000 0.194 0.485 1
Cl2 Cl 0.500 0.000 0.186 1